Compound: Li2OsW
Source: Alexandria
Functional: PBE
Structure: relaxed

abc: 3.203 3.203 5.103
angles: 90.00 90.00 90.00
Space group P4/mmm (No. 123)
Asymmetric unit:
Li: 0.000 0.000 0.228 [2 per cell]
Os: 0.500 0.500 0.000 [1 per cell]
W: 0.500 0.500 0.500 [1 per cell]

Total magnetization: 0.00 μB per cell
Energy of formation from the pure elements: 729 meV/atom
ΔE to the lowest computed polymorph: 12.48 kcal/mol of atoms
Uncorrected energy: -6.27 eV per atom